<i>
4
Lattice="2.6799 -0.0055 0.0000 -1.3044 2.3410 0.0000 0.0000 0.0000 9.1692" Properties=species:S:1:pos:R:3 comment="LiOsPt2 (PBEsol, optimized geometry)" volume_a3_per_fu=57.46 pbc="T T T"
Li 0.6877 1.1677 4.5846
Os 0.6877 1.1677 0.0000
Pt 0.0000 0.0000 2.3737
Pt 0.0000 0.0000 6.7955

=====

<ii>
4
Lattice="-1.2512 -2.3629 0.0088 2.3250 0.2454 -1.2973 4.5587 -2.3851 7.7186" Properties=species:S:1:pos:R:3 comment="LiOsPt2 (PBEsol, optimized geometry)" volume_a3_per_fu=57.82 pbc="T T T"
Li 2.2983 -1.2025 3.8913
Os 1.6955 -1.6649 1.3174
Pt 0.0177 -0.0093 0.0300
Pt 3.9004 -2.8185 5.0506

=====

Consider the structures shown above. The least stable of them is <ii>.